DFT (PBE with a Hubbard U) results for a relaxed HWO2 crystal.

Unit cell a=5.439 b=5.439 c=5.439 alpha=30.08 beta=30.08 gamma=30.08
Fractional positions:
1 H 0.000 0.000 0.000
2 O 0.923 0.923 0.923
3 O 0.077 0.077 0.077
4 W 0.500 0.500 0.500

Values from the calculation:
**Total magnetization**: 0.0 μB per formula unit
**DOS(E_F)**: 0.2259 states/eV per atom
**Energy above the most stable polymorph in this dataset**: 0.0 meV/atom
**Space group**: R-3m